No. 1
# GdDyPO

A geometry-optimized GdDyPO structure (GGA-PBE, OQMD).

Unit cell a=4.3159 b=4.3159 c=8.6476 alpha=90.00 beta=90.00 gamma=90.00
Space group P4/nmm (No. 129, origin choice 2)
Unique sites:
Gd (0.2500, 0.2500, 0.1053) [2 per cell]
Dy (0.2500, 0.7500, 0.5000) [2 per cell]
P (0.2500, 0.2500, 0.6951) [2 per cell]
O (0.2500, 0.7500, 0.0000) [2 per cell]

Output
For the energy, the calculation gives -54.6 eV per cell.


No. 2
# NbInPd2

A geometry-optimized NbInPd2 structure (GGA-PBE, OQMD).

Unit cell a=6.4847 b=6.4847 c=6.4847 alpha=90.00 beta=90.00 gamma=90.00
Space group F-43m (No. 216)
Unique sites:
Nb (0.0000, 0.0000, 0.0000) [4 per cell]
In (0.2500, 0.2500, 0.7500) [4 per cell]
Pd (0.0000, 0.0000, 0.5000) [4 per cell]
Pd (0.2500, 0.2500, 0.2500) [4 per cell]

Output
For the energy, the calculation gives -95.7 eV per cell.


No. 3
# BaTcOsAu

A geometry-optimized BaTcOsAu structure (GGA-PBE, OQMD).

Unit cell a=6.9477 b=6.9477 c=6.9477 alpha=90.00 beta=90.00 gamma=90.00
Space group F-43m (No. 216)
Unique sites:
Ba (0.0000, 0.0000, 0.0000) [4 per cell]
Tc (0.0000, 0.0000, 0.5000) [4 per cell]
Os (0.2500, 0.2500, 0.7500) [4 per cell]
Au (0.2500, 0.2500, 0.2500) [4 per cell]

Output
For the energy, the calculation gives -88.9 eV per cell.


No. 4
# BaLuPd

A geometry-optimized BaLuPd structure (GGA-PBE, OQMD).

Unit cell a=7.2950 b=7.2950 c=7.2950 alpha=90.00 beta=90.00 gamma=90.00
Space group F-43m (No. 216)
Unique sites:
Ba (0.0000, 0.0000, 0.0000) [4 per cell]
Lu (0.0000, 0.0000, 0.5000) [4 per cell]
Pd (0.2500, 0.2500, 0.2500) [4 per cell]

Output
For the energy, the calculation gives -48.8 eV per cell.


No. 5
# Nd2GeO5

A geometry-optimized Nd2GeO5 structure (GGA-PBE, OQMD).

Unit cell a=15.2171 b=6.9328 c=10.7244 alpha=90.00 beta=121.78 gamma=90.00
Space group C2/c (No. 15)
Unique sites:
Nd (0.0350, 0.2471, 0.4580) [8 per cell]
Nd (0.1373, 0.1439, 0.8304) [8 per cell]
Ge (0.1836, 0.4069, 0.3180) [8 per cell]
O (0.0194, 0.0961, 0.9010) [8 per cell]
O (0.0845, 0.4751, 0.6567) [8 per cell]
O (0.1136, 0.1979, 0.3109) [8 per cell]
O (0.1976, 0.4458, 0.9629) [8 per cell]
O (0.1991, 0.1399, 0.6666) [8 per cell]

Output
For the energy, the calculation gives -491.9 eV per cell.


No. 6
# AcEr3S6

A geometry-optimized AcEr3S6 structure (GGA-PBE, OQMD).

Unit cell a=11.1151 b=4.0350 c=11.4024 alpha=90.00 beta=108.95 gamma=90.00
Space group P2_1/m (No. 11)
Unique sites:
Ac (0.0552, 0.2500, 0.1985) [2 per cell]
Er (0.1619, 0.2500, 0.5903) [2 per cell]
Er (0.3234, 0.7500, 0.9993) [2 per cell]
Er (0.4523, 0.2500, 0.3342) [2 per cell]
S (0.0825, 0.7500, 0.4124) [2 per cell]
S (0.1268, 0.2500, 0.9633) [2 per cell]
S (0.2021, 0.7500, 0.7478) [2 per cell]
S (0.2789, 0.7500, 0.2324) [2 per cell]
S (0.3902, 0.2500, 0.5519) [2 per cell]
S (0.4784, 0.2500, 0.1099) [2 per cell]

Output
For the energy, the calculation gives -127.6 eV per cell.


No. 7
# Co17Sn

A geometry-optimized Co17Sn structure (GGA-PBE, OQMD).

Unit cell a=4.2770 b=4.9497 c=30.8796 alpha=90.00 beta=90.11 gamma=90.00
Space group Pm (No. 6)
Unique sites:
Co (0.0000, 0.0000, 0.0000) [1 per cell]
Co (0.0000, 0.5000, 0.1956) [1 per cell]
Co (0.0008, 0.0000, 0.3914) [1 per cell]
Co (0.1653, 0.2499, 0.2607) [2 per cell]
Co (0.1657, 0.2506, 0.0655) [2 per cell]
Co (0.1662, 0.2572, 0.4554) [2 per cell]
Co (0.3301, 0.0000, 0.3256) [1 per cell]
Co (0.3319, 0.5000, 0.1307) [1 per cell]
Co (0.3327, 0.0000, 0.1306) [1 per cell]
Co (0.3336, 0.0000, 0.9359) [1 per cell]
Co (0.3336, 0.5000, 0.3266) [1 per cell]
Co (0.4965, 0.2533, 0.9993) [2 per cell]
Co (0.4991, 0.2500, 0.1957) [2 per cell]
Co (0.5017, 0.2467, 0.3918) [2 per cell]
Co (0.6646, 0.0000, 0.0646) [1 per cell]
Co (0.6655, 0.5000, 0.2607) [1 per cell]
Co (0.6645, 0.5000, 0.4552) [1 per cell]
Co (0.6663, 0.0000, 0.2606) [1 per cell]
Co (0.6680, 0.5000, 0.0655) [1 per cell]
Co (0.8320, 0.2426, 0.9357) [2 per cell]
Co (0.8325, 0.2493, 0.3256) [2 per cell]
Co (0.8329, 0.2501, 0.1307) [2 per cell]
Co (0.9973, 0.5000, 0.9997) [1 per cell]
Co (0.9981, 0.0000, 0.1959) [1 per cell]
Co (0.9981, 0.5000, 0.3910) [1 per cell]
Sn (0.3313, 0.5000, 0.9107) [1 per cell]
Sn (0.6670, 0.0000, 0.4807) [1 per cell]

Output
For the energy, the calculation gives -245.7 eV per cell.


No. 8
# MgTcB4

A geometry-optimized MgTcB4 structure (GGA-PBE, OQMD).

Unit cell a=5.8924 b=11.2847 c=3.4525 alpha=90.00 beta=90.00 gamma=90.00
Space group Pbam (No. 55)
Unique sites:
Mg (0.1231, 0.1511, 0.0000) [4 per cell]
Tc (0.1342, 0.4151, 0.0000) [4 per cell]
B (0.0138, 0.6976, 0.5000) [4 per cell]
B (0.1160, 0.5509, 0.5000) [4 per cell]
B (0.1305, 0.9693, 0.5000) [4 per cell]
B (0.2036, 0.8141, 0.5000) [4 per cell]

Output
For the energy, the calculation gives -159.7 eV per cell.


No. 9
# NiCl2

A geometry-optimized NiCl2 structure (GGA-PBE, OQMD).

Unit cell a=3.3292 b=3.3292 c=20.0958 alpha=90.00 beta=90.00 gamma=120.00
Space group R3m (No. 160, hexagonal axes)
Unique sites:
Ni (0.0000, 0.0000, 0.0000) [3 per cell]
Cl (0.0000, 0.0000, 0.2591) [3 per cell]
Cl (0.0000, 0.0000, 0.4077) [3 per cell]

Output
For the energy, the calculation gives -30.4 eV per cell.


No. 10
# TlCuNiPb

A geometry-optimized TlCuNiPb structure (GGA-PBE, OQMD).

Unit cell a=6.7038 b=6.7038 c=6.7038 alpha=90.00 beta=90.00 gamma=90.00
Space group F-43m (No. 216)
Unique sites:
Tl (0.0000, 0.0000, 0.0000) [4 per cell]
Cu (0.2500, 0.2500, 0.2500) [4 per cell]
Ni (0.2500, 0.2500, 0.7500) [4 per cell]
Pb (0.0000, 0.0000, 0.5000) [4 per cell]

Output
For the energy, the calculation gives -55.8 eV per cell.


No. 11
# FeTe

A geometry-optimized FeTe structure (GGA-PBE, OQMD).

Unit cell a=5.4074 b=3.8548 c=6.5376 alpha=90.00 beta=90.00 gamma=90.00
Space group Pnma (No. 62)
Unique sites:
Fe (0.0060, 0.2500, 0.2332) [4 per cell]
Te (0.2322, 0.2500, 0.5861) [4 per cell]

Output
For the energy, the calculation gives -44.8 eV per cell.


No. 12
# FeCuB

A geometry-optimized FeCuB structure (GGA-PBE, OQMD).

Unit cell a=5.1094 b=5.1094 c=5.1094 alpha=90.00 beta=90.00 gamma=90.00
Space group F-43m (No. 216)
Unique sites:
Fe (0.0000, 0.0000, 0.0000) [4 per cell]
Cu (0.2500, 0.2500, 0.2500) [4 per cell]
B (0.2500, 0.2500, 0.7500) [4 per cell]

Output
For the energy, the calculation gives -64.8 eV per cell.


No. 13
# In2Ni3S4

A geometry-optimized In2Ni3S4 structure (GGA-PBE, OQMD).

Unit cell a=5.7848 b=10.0576 c=24.9854 alpha=90.00 beta=90.00 gamma=90.00
Space group Fddd (No. 70, origin choice 2)
Unique sites:
In (0.1250, 0.1250, 0.0507) [16 per cell]
Ni (0.1250, 0.1250, 0.3751) [16 per cell]
Ni (0.1250, 0.1250, 0.6250) [8 per cell]
S (0.1236, 0.2915, 0.5672) [32 per cell]

Output
For the energy, the calculation gives -332.0 eV per cell.


No. 14
# Y2Co2Ir

A geometry-optimized Y2Co2Ir structure (GGA-PBE, OQMD).

Unit cell a=3.5484 b=3.5484 c=13.7261 alpha=90.00 beta=90.00 gamma=90.00
Space group I4/mmm (No. 139)
Unique sites:
Y (0.0000, 0.0000, 0.1070) [4 per cell]
Co (0.0000, 0.5000, 0.2500) [4 per cell]
Ir (0.0000, 0.0000, 0.5000) [2 per cell]

Output
For the energy, the calculation gives -70.9 eV per cell. Its formation energy is 114 meV/atom.


No. 15
# CuTePbF

A geometry-optimized CuTePbF structure (GGA-PBE, OQMD).

Unit cell a=3.4237 b=22.9048 c=4.7905 alpha=90.00 beta=90.00 gamma=90.00
Space group Cmcm (No. 63)
Unique sites:
Cu (0.0000, 0.0000, 0.0000) [4 per cell]
Te (0.0000, 0.2017, 0.2500) [4 per cell]
Pb (0.0000, 0.4111, 0.7500) [4 per cell]
F (0.0000, 0.4199, 0.2500) [4 per cell]

Output
For the energy, the calculation gives -55.8 eV per cell.


No. 16
# Li2Zn2GeIr2Pb

A geometry-optimized Li2Zn2GeIr2Pb structure (GGA-PBE, OQMD).

Unit cell a=4.3402 b=4.3402 c=6.5310 alpha=90.00 beta=90.00 gamma=90.00
Space group P-4m2 (No. 115)
Unique sites:
Li (0.0000, 0.5000, 0.2243) [2 per cell]
Zn (0.0000, 0.0000, 0.0000) [1 per cell]
Zn (0.5000, 0.5000, 0.5000) [1 per cell]
Ge (0.5000, 0.5000, 0.0000) [1 per cell]
Ir (0.0000, 0.5000, 0.7840) [2 per cell]
Pb (0.0000, 0.0000, 0.5000) [1 per cell]

Output
For the energy, the calculation gives -34.3 eV per cell.


No. 17
# SmTlTe

A geometry-optimized SmTlTe structure (GGA-PBE, OQMD).

Unit cell a=7.4123 b=7.4123 c=7.4123 alpha=90.00 beta=90.00 gamma=90.00
Space group F-43m (No. 216)
Unique sites:
Sm (0.0000, 0.0000, 0.0000) [4 per cell]
Tl (0.0000, 0.0000, 0.5000) [4 per cell]
Te (0.2500, 0.2500, 0.2500) [4 per cell]

Output
For the energy, the calculation gives -46.5 eV per cell.


No. 18
# BaLiTeIr

A geometry-optimized BaLiTeIr structure (GGA-PBE, OQMD).

Unit cell a=7.2133 b=7.2133 c=7.2133 alpha=90.00 beta=90.00 gamma=90.00
Space group F-43m (No. 216)
Unique sites:
Ba (0.0000, 0.0000, 0.0000) [4 per cell]
Li (0.2500, 0.2500, 0.7500) [4 per cell]
Te (0.2500, 0.2500, 0.2500) [4 per cell]
Ir (0.0000, 0.0000, 0.5000) [4 per cell]

Output
For the energy, the calculation gives -64.0 eV per cell.


No. 19
# GdInPdPt

A geometry-optimized GdInPdPt structure (GGA-PBE, OQMD).

Unit cell a=4.6102 b=4.6102 c=9.0452 alpha=90.00 beta=90.00 gamma=120.00
Space group P6_3mc (No. 186)
Unique sites:
Gd (0.3333, 0.6667, 0.0000) [2 per cell]
In (0.0000, 0.0000, 0.2550) [2 per cell]
Pd (0.3333, 0.6667, 0.6638) [2 per cell]
Pt (0.3333, 0.6667, 0.3417) [2 per cell]

Output
For the energy, the calculation gives -44.5 eV per cell.


No. 20
# DyH3

A geometry-optimized DyH3 structure (GGA-PBE, OQMD).

Unit cell a=3.6327 b=3.6327 c=6.5021 alpha=90.00 beta=90.00 gamma=120.00
Space group P6_3/mmc (No. 194)
Unique sites:
Dy (0.3333, 0.6667, 0.2500) [2 per cell]
H (0.0000, 0.0000, 0.2500) [2 per cell]
H (0.3333, 0.6667, 0.5943) [4 per cell]

Output
For the energy, the calculation gives -34.3 eV per cell.


No. 21
# Sr2Tb

A geometry-optimized Sr2Tb structure (GGA-PBE, OQMD).

Unit cell a=10.3094 b=10.3094 c=10.3094 alpha=90.00 beta=90.00 gamma=90.00
Space group Fd-3m (No. 227, origin choice 2)
Unique sites:
Sr (0.0000, 0.0000, 0.0000) [16 per cell]
Tb (0.1250, 0.1250, 0.6250) [8 per cell]

Output
For the energy, the calculation gives -52.1 eV per cell.


No. 22
# Lu4FeGeC2

A geometry-optimized Lu4FeGeC2 structure (GGA-PBE, OQMD).

Unit cell a=3.4688 b=3.4688 c=14.2718 alpha=90.00 beta=90.00 gamma=120.00
Space group P-6m2 (No. 187)
Unique sites:
Lu (0.0000, 0.0000, 0.1512) [2 per cell]
Lu (0.3333, 0.6667, 0.3357) [2 per cell]
Fe (0.3333, 0.6667, 0.0000) [1 per cell]
Ge (0.0000, 0.0000, 0.5000) [1 per cell]
C (0.6667, 0.3333, 0.2436) [2 per cell]

Output
For the energy, the calculation gives -51.5 eV per cell.